# Nd2Co17C2

A geometry-optimized Nd2Co17C2 structure (PBE, the Alexandria database).

Computed properties:
DFT formation energy = -9 meV/atom

Geometry as CIF:
```
data_Nd2Co17C2
_cell_length_a 9.472
_cell_length_b 8.586
_cell_length_c 6.425
_cell_angle_alpha 90.00
_cell_angle_beta 98.22
_cell_angle_gamma 90.00
_symmetry_space_group_name_H-M 'C 1 2/m 1'
_symmetry_Int_Tables_number 12
loop_
_symmetry_equiv_pos_as_xyz
'x,y,z'
'-x,-y,-z'
'-x,y,-z'
'x,-y,z'
'x+1/2,y+1/2,z'
'-x+1/2,-y+1/2,-z'
'-x+1/2,y+1/2,-z'
'x+1/2,-y+1/2,z'
loop_
_atom_site_label
_atom_site_type_symbol
_atom_site_fract_x
_atom_site_fract_y
_atom_site_fract_z
_atom_site_occupancy
Nd1 Nd 0.144 0.000 0.328 1
Co1 Co 0.000 0.224 0.000 1
Co2 Co 0.000 0.500 0.500 1
Co3 Co 0.096 0.500 0.905 1
Co4 Co 0.103 0.259 0.659 1
Co5 Co 0.142 0.358 0.284 1
Co6 Co 0.158 0.000 0.865 1
Co7 Co 0.250 0.250 0.000 1
C1 C 0.250 0.250 0.500 1
```

# YSi2Sb

A geometry-optimized YSi2Sb structure (PBE, the Alexandria database).

Geometry as CIF:
```
data_YSi2Sb
_cell_length_a 3.7654
_cell_length_b 3.7654
_cell_length_c 22.6981
_cell_angle_alpha 90.00
_cell_angle_beta 90.00
_cell_angle_gamma 120.00
_symmetry_space_group_name_H-M 'R 3 m'
_symmetry_Int_Tables_number 160
_symmetry_space_group_name_Hall 'R 3 -2"'
loop_
_atom_site_label
_atom_site_type_symbol
_atom_site_fract_x
_atom_site_fract_y
_atom_site_fract_z
_atom_site_occupancy
Y1 Y 0.0000 0.0000 0.0000 1
Si1 Si 0.0000 0.0000 0.2477 1
Si2 Si 0.0000 0.0000 0.5386 1
Sb1 Sb 0.0000 0.0000 0.7709 1
```

# MgCu2Pd2

A geometry-optimized MgCu2Pd2 structure (PBE, the Alexandria database).

Computed properties:
DFT formation energy = -314 meV/atom
Excess energy over the best structure of this formula in the dataset = 0.000 eV/atom

Geometry as CIF:
```
data_MgCu2Pd2
_cell_length_a 8.359
_cell_length_b 3.951
_cell_length_c 5.973
_cell_angle_alpha 90.00
_cell_angle_beta 132.96
_cell_angle_gamma 90.00
_symmetry_space_group_name_H-M 'C 1 2/m 1'
_symmetry_Int_Tables_number 12
loop_
_symmetry_equiv_pos_as_xyz
'x,y,z'
'-x,-y,-z'
'-x,y,-z'
'x,-y,z'
'x+1/2,y+1/2,z'
'-x+1/2,-y+1/2,-z'
'-x+1/2,y+1/2,-z'
'x+1/2,-y+1/2,z'
loop_
_atom_site_label
_atom_site_type_symbol
_atom_site_fract_x
_atom_site_fract_y
_atom_site_fract_z
_atom_site_occupancy
Mg1 Mg 0.000 0.000 0.000 1
Cu1 Cu 0.190 0.000 0.597 1
Pd1 Pd 0.086 0.500 0.794 1
```

# HoScP

A geometry-optimized HoScP structure (PBE, the Alexandria database).

Computed properties:
DFT formation energy = -915 meV/atom

Geometry as CIF:
```
data_HoScP
_cell_length_a 6.146
_cell_length_b 6.509
_cell_length_c 7.428
_cell_angle_alpha 90.02
_cell_angle_beta 95.44
_cell_angle_gamma 90.11
_symmetry_space_group_name_H-M 'P -1'
_symmetry_Int_Tables_number 2
loop_
_symmetry_equiv_pos_as_xyz
'x,y,z'
'-x,-y,-z'
loop_
_atom_site_label
_atom_site_type_symbol
_atom_site_fract_x
_atom_site_fract_y
_atom_site_fract_z
_atom_site_occupancy
Ho1 Ho 0.244 0.091 0.379 1
Ho2 Ho 0.256 0.591 0.122 1
Sc1 Sc 0.246 0.072 0.884 1
Sc2 Sc 0.254 0.573 0.615 1
P1 P 0.006 0.256 0.635 1
P2 P 0.495 0.756 0.866 1
```

# PaNi4SnH6

A geometry-optimized PaNi4SnH6 structure (PBE, the Alexandria database).

Geometry as CIF:
```
data_PaNi4SnH6
_cell_length_a 4.3207
_cell_length_b 4.3207
_cell_length_c 6.6621
_cell_angle_alpha 90.00
_cell_angle_beta 90.00
_cell_angle_gamma 120.00
_symmetry_space_group_name_H-M 'P 6/m m m'
_symmetry_Int_Tables_number 191
_symmetry_space_group_name_Hall '-P 6 2'
loop_
_atom_site_label
_atom_site_type_symbol
_atom_site_fract_x
_atom_site_fract_y
_atom_site_fract_z
_atom_site_occupancy
Pa1 Pa 0.0000 0.0000 0.0000 1
Ni1 Ni 0.3333 0.6667 0.3066 1
Sn1 Sn 0.0000 0.0000 0.5000 1
H1 H 0.0000 0.5000 0.1426 1
```

# K3Sn2Hg4

A geometry-optimized K3Sn2Hg4 structure (PBE, the Alexandria database).

Computed properties:
DFT formation energy = -219 meV/atom
Excess energy over the best structure of this formula in the dataset = 0.000 eV/atom

Geometry as CIF:
```
data_K3Sn2Hg4
_cell_length_a 12.568
_cell_length_b 5.117
_cell_length_c 9.925
_cell_angle_alpha 90.00
_cell_angle_beta 110.89
_cell_angle_gamma 90.00
_symmetry_space_group_name_H-M 'C 1 2/m 1'
_symmetry_Int_Tables_number 12
loop_
_symmetry_equiv_pos_as_xyz
'x,y,z'
'-x,-y,-z'
'-x,y,-z'
'x,-y,z'
'x+1/2,y+1/2,z'
'-x+1/2,-y+1/2,-z'
'-x+1/2,y+1/2,-z'
'x+1/2,-y+1/2,z'
loop_
_atom_site_label
_atom_site_type_symbol
_atom_site_fract_x
_atom_site_fract_y
_atom_site_fract_z
_atom_site_occupancy
K1 K 0.000 0.000 0.000 1
K2 K 0.132 0.500 0.690 1
Sn1 Sn 0.160 0.500 0.331 1
Hg1 Hg 0.095 0.000 0.426 1
Hg2 Hg 0.224 0.500 0.068 1
```

# ScTe2N2

A geometry-optimized ScTe2N2 structure (PBE, the Alexandria database).

Computed properties:
Excess energy over the best structure of this formula in the dataset = 0.238 eV/atom

Geometry as CIF:
```
data_ScTe2N2
_cell_length_a 4.532
_cell_length_b 4.532
_cell_length_c 4.230
_cell_angle_alpha 90.00
_cell_angle_beta 90.00
_cell_angle_gamma 90.00
_symmetry_space_group_name_H-M 'P 4/m m m'
_symmetry_Int_Tables_number 123
_symmetry_space_group_name_Hall '-P 4 2'
loop_
_atom_site_label
_atom_site_type_symbol
_atom_site_fract_x
_atom_site_fract_y
_atom_site_fract_z
_atom_site_occupancy
Sc1 Sc 0.000 0.000 0.000 1
Te1 Te 0.000 0.500 0.500 1
N1 N 0.500 0.500 0.000 1
N2 N 0.500 0.500 0.500 1
```

# Pr9MgSn2

A geometry-optimized Pr9MgSn2 structure (PBE, the Alexandria database).

Computed properties:
DFT formation energy = -305 meV/atom

Geometry as CIF:
```
data_Pr9MgSn2
_cell_length_a 5.028
_cell_length_b 5.028
_cell_length_c 15.000
_cell_angle_alpha 90.00
_cell_angle_beta 90.00
_cell_angle_gamma 90.00
_symmetry_space_group_name_H-M 'P 4/m m m'
_symmetry_Int_Tables_number 123
_symmetry_space_group_name_Hall '-P 4 2'
loop_
_atom_site_label
_atom_site_type_symbol
_atom_site_fract_x
_atom_site_fract_y
_atom_site_fract_z
_atom_site_occupancy
Pr1 Pr 0.000 0.000 0.000 1
Pr2 Pr 0.000 0.000 0.333 1
Pr3 Pr 0.000 0.500 0.171 1
Pr4 Pr 0.000 0.500 0.500 1
Mg1 Mg 0.500 0.500 0.000 1
Sn1 Sn 0.500 0.500 0.334 1
```

Ordered E results: -7.0944, -5.5483, -4.3487, -6.3546, -4.9875, -1.6087, -4.9278, -4.6895; unit eV/atom.
Ordered total magnetization results: 1.026, 0.000, 0.000, 0.000, 0.000, 0.000, 0.055, 0.000; unit μB/atom.